Entry 1:
{
  "formula": "CaGa2Cu3Sb2O12",
  "functional": "GGA-PBEsol",
  "state": "relaxed",
  "raw_formation_energy_mev_per_atom": -1460,
  "lattice_angstrom": [[7.466, 0.000, 0.000], [0.000, 7.466, 0.000], [0.000, 0.000, 7.466]],
  "species": ["Ca", "Ca", "Ga", "Ga", "Ga", "Ga", "Cu", "Cu", "Cu", "Cu", "Cu", "Cu", "Sb", "Sb", "Sb", "Sb", "O", "O", "O", "O", "O", "O", "O", "O", "O", "O", "O", "O", "O", "O", "O", "O", "O", "O", "O", "O", "O", "O", "O", "O"],
  "fractional_positions": [[0.250, 0.250, 0.250], [0.750, 0.750, 0.750], [0.000, 0.000, 0.000], [0.000, 0.500, 0.500], [0.500, 0.000, 0.500], [0.500, 0.500, 0.000], [0.250, 0.250, 0.750], [0.250, 0.750, 0.250], [0.250, 0.750, 0.750], [0.750, 0.250, 0.250], [0.750, 0.250, 0.750], [0.750, 0.750, 0.250], [0.000, 0.000, 0.500], [0.000, 0.500, 0.000], [0.500, 0.000, 0.000], [0.500, 0.500, 0.500], [0.055, 0.749, 0.575], [0.055, 0.751, 0.925], [0.075, 0.555, 0.251], [0.075, 0.945, 0.249], [0.249, 0.075, 0.945], [0.249, 0.425, 0.555], [0.251, 0.075, 0.555], [0.251, 0.425, 0.945], [0.425, 0.555, 0.249], [0.425, 0.945, 0.251], [0.445, 0.749, 0.925], [0.445, 0.751, 0.575], [0.555, 0.249, 0.425], [0.555, 0.251, 0.075], [0.575, 0.055, 0.749], [0.575, 0.445, 0.751], [0.749, 0.575, 0.055], [0.749, 0.925, 0.445], [0.751, 0.575, 0.445], [0.751, 0.925, 0.055], [0.925, 0.055, 0.751], [0.925, 0.445, 0.749], [0.945, 0.249, 0.075], [0.945, 0.251, 0.425]]
}

***

Entry 2:
{
  "formula": "Sr2Ca2GaCu3O9",
  "functional": "GGA-PBEsol",
  "state": "relaxed",
  "raw_formation_energy_mev_per_atom": -1922,
  "lattice_angstrom": [[-14.668, 2.689, 2.656], [14.668, -2.689, 2.656], [14.668, 2.689, -2.656]],
  "species": ["Sr", "Sr", "Sr", "Sr", "Ca", "Ca", "Ca", "Ca", "Ga", "Ga", "Cu", "Cu", "Cu", "Cu", "Cu", "Cu", "O", "O", "O", "O", "O", "O", "O", "O", "O", "O", "O", "O", "O", "O", "O", "O", "O", "O"],
  "fractional_positions": [[0.012, 0.172, 0.183], [0.012, 0.328, 0.340], [0.988, 0.672, 0.660], [0.988, 0.828, 0.817], [0.001, 0.555, 0.557], [0.001, 0.944, 0.946], [0.998, 0.055, 0.054], [0.998, 0.444, 0.443], [0.474, 0.795, 0.179], [0.615, 0.295, 0.821], [0.498, 0.111, 0.613], [0.498, 0.385, 0.887], [0.498, 0.611, 0.113], [0.498, 0.885, 0.387], [0.500, 0.000, 0.500], [0.500, 0.500, 0.000], [0.000, 0.250, 0.751], [0.000, 0.749, 0.250], [0.008, 0.650, 0.858], [0.441, 0.170, 0.654], [0.441, 0.287, 0.771], [0.498, 0.141, 0.143], [0.498, 0.856, 0.857], [0.499, 0.249, 0.249], [0.499, 0.750, 0.750], [0.501, 0.355, 0.357], [0.501, 0.645, 0.647], [0.516, 0.670, 0.229], [0.516, 0.787, 0.346], [0.791, 0.150, 0.142], [0.998, 0.145, 0.643], [0.998, 0.356, 0.857], [0.998, 0.641, 0.143], [0.998, 0.855, 0.353]]
}

***

Entry 3:
{
  "formula": "Ca2GaCuPd",
  "functional": "GGA-PBEsol",
  "state": "relaxed",
  "ef_mev_per_atom": -45,
  "lattice_angstrom": [[5.363, 0.000, 0.000], [0.000, 5.363, 0.000], [0.000, 0.000, 4.683]],
  "species": ["Ca", "Ca", "Ga", "Cu", "Pd"],
  "fractional_positions": [[0.000, 0.500, 0.000], [0.500, 0.000, 0.000], [0.000, 0.000, 0.500], [0.500, 0.500, 0.500], [0.000, 0.000, 0.000]]
}

***

Entry 4:
{
  "formula": "Ca2TaGaCu",
  "functional": "GGA-PBEsol",
  "state": "relaxed",
  "ef_mev_per_atom": 1123,
  "lattice_angstrom": [[5.581, 0.000, 0.000], [0.000, 5.581, 0.000], [0.000, 0.000, 4.615]],
  "species": ["Ca", "Ca", "Ta", "Ga", "Cu"],
  "fractional_positions": [[0.000, 0.500, 0.000], [0.500, 0.000, 0.000], [0.000, 0.000, 0.000], [0.500, 0.500, 0.500], [0.000, 0.000, 0.500]]
}